# 1
DFT (PBE) results for a relaxed LiCaGaAs2 crystal.

Unit cell a=7.284 b=7.284 c=9.981 alpha=126.01 beta=126.01 gamma=32.99
Atoms (fractional coordinates):
Li (0.147, 0.147, 0.420)
Li (0.853, 0.853, 0.580)
Ca (0.286, 0.286, 0.857)
Ca (0.714, 0.714, 0.143)
Ga (0.459, 0.459, 0.310)
Ga (0.541, 0.541, 0.690)
As (0.071, 0.071, 0.865)
As (0.330, 0.330, 0.409)
As (0.670, 0.670, 0.591)
As (0.929, 0.929, 0.135)

Results
Volume, Å³/cell: 227.7
Formation energy, eV per atom: -0.73
Space-group type: C2/m



# 2
DFT (PBE) results for a relaxed CaMgGaAs2 crystal.

Unit cell a=6.753 b=5.432 c=6.531 alpha=90.00 beta=101.41 gamma=90.00
Atoms (fractional coordinates):
Ca (0.000, 0.215, 0.250)
Ca (0.000, 0.785, 0.750)
Mg (0.500, 0.463, 0.250)
Mg (0.500, 0.537, 0.750)
Ga (0.500, 0.000, 0.000)
Ga (0.500, 0.000, 0.500)
As (0.210, 0.278, 0.885)
As (0.210, 0.722, 0.385)
As (0.790, 0.278, 0.615)
As (0.790, 0.722, 0.115)

Results
Volume, Å³/cell: 234.8
Formation energy, eV per atom: -0.49
Space-group type: P2/c



# 3
DFT (PBE) results for a relaxed Ca2GaAsN crystal.

Unit cell a=6.642 b=3.797 c=8.437 alpha=90.00 beta=106.15 gamma=90.00
Atoms (fractional coordinates):
Ca (0.179, 0.250, 0.455)
Ca (0.203, 0.250, 0.867)
Ca (0.797, 0.750, 0.133)
Ca (0.821, 0.750, 0.545)
Ga (0.480, 0.750, 0.697)
Ga (0.520, 0.250, 0.303)
As (0.285, 0.750, 0.169)
As (0.715, 0.250, 0.831)
N (0.183, 0.750, 0.666)
N (0.817, 0.250, 0.334)

Results
Formation energy (no corrections), eV/atom: -0.807
Volume, Å³/cell: 204.4
Polymorph energy (0 for the lowest one), eV per formula unit: 0.00
Space-group type: P2_1/m